[1]
8
Lattice="6.2787 0.0000 0.0000 0.0000 3.6475 0.0000 -2.3146 0.0000 5.9866" Properties=species:S:1:pos:R:3 comment="PBE-GGA Ca2AcCeN4, relaxed" space_group="P2/m, No. 10" raw_formation_energy_ev_per_fu=-7.9 pbc="T T T"
Ca 0.0000 0.0000 0.0000
Ca -1.1573 1.8237 2.9933
Ac 1.9821 0.0000 2.9933
Ce 3.1394 1.8237 0.0000
N 1.0691 1.8237 1.4462
N -0.0744 0.0000 4.6544
N 4.0385 0.0000 1.3322
N 2.8950 1.8237 4.5404

***

[2]
8
Lattice="6.3833 0.0000 0.0000 0.0000 3.7986 0.0000 -2.0442 0.0000 6.1155" Properties=species:S:1:pos:R:3 comment="PBE-GGA CaAc2CeN4, relaxed" space_group="P2/m, No. 10" raw_formation_energy_ev_per_fu=-8.8 pbc="T T T"
Ca 0.0000 0.0000 0.0000
Ac -1.0221 1.8993 3.0577
Ac 2.1696 0.0000 3.0577
Ce 3.1917 1.8993 0.0000
N 0.0848 0.0000 4.6650
N 1.2858 1.8993 1.4067
N 3.0534 1.8993 4.7088
N 4.2544 0.0000 1.4504

***

[3]
12
Lattice="7.9996 -1.8343 0.0000 7.9996 1.8343 0.0000 -1.7356 0.0000 7.1710" Properties=species:S:1:pos:R:3 comment="PBE-GGA CaAc2Ce3N6, relaxed" space_group="C2/m, No. 12" raw_formation_energy_ev_per_fu=-15.2 pbc="T T T"
Ca 0.0000 0.0000 0.0000
Ac 4.1939 0.0000 4.8165
Ac 10.0698 0.0000 2.3545
Ce -0.8678 0.0000 3.5855
Ce 5.1234 0.0000 1.1751
Ce 9.1403 0.0000 5.9959
N 1.4527 0.0000 4.3406
N 2.6117 0.0000 0.4403
N 7.4285 0.0000 1.9032
N 6.8351 0.0000 5.2678
N 11.6519 0.0000 6.7307
N 12.8110 0.0000 2.8304

***

[4]
4
Lattice="0.0000 4.2518 4.2518 4.2518 0.0000 4.2518 4.2518 4.2518 0.0000" Properties=species:S:1:pos:R:3 comment="PBE-GGA CaAcCeNd, relaxed" formation_energy_ev_per_atom=0.229 space_group="F-43m, No. 216" pbc="T T T"
Ca 0.0000 0.0000 0.0000
Ac 6.3777 6.3777 6.3777
Ce 4.2518 4.2518 4.2518
Nd 2.1259 2.1259 2.1259

***

[5]
20
Lattice="6.0678 0.0000 0.0000 0.0000 6.2566 0.0000 -6.0061 0.0000 8.8109" Properties=species:S:1:pos:R:3 comment="PBE-GGA CaAc2CeO6, relaxed" space_group="P2_1/c, No. 14" raw_formation_energy_ev_per_fu=-32.8 pbc="T T T"
Ca 0.0000 0.0000 0.0000
Ca -3.0030 3.1283 4.4055
Ac -3.0925 0.3168 6.5897
Ac -0.0894 2.8115 2.1842
Ac 0.1512 3.4451 6.6267
Ac 3.1542 5.9398 2.2212
Ce 0.0309 0.0000 4.4055
Ce 3.0339 3.1283 0.0000
O -1.7710 1.1961 3.8487
O -4.7741 1.9322 8.2542
O -1.1514 4.4261 3.7561
O -4.1545 4.9588 8.1615
O 0.7833 0.3696 2.2694
O -2.2198 2.7587 6.6748
O 2.2815 3.4979 2.1361
O -0.7216 5.8870 6.5416
O 4.2162 1.2978 0.6494
O 1.2132 1.8305 5.0549
O 4.8358 4.3244 0.5568
O 1.8328 5.0605 4.9622

***

[6]
8
Lattice="7.1878 0.0000 0.0000 0.0000 4.2644 0.0000 -2.5429 0.0000 6.9247" Properties=species:S:1:pos:R:3 comment="PBE-GGA Ca2AcCeP4, relaxed" formation_energy_ev_per_atom=-1.176 space_group="P2/m, No. 10" pbc="T T T"
Ca 0.0000 0.0000 0.0000
Ca -1.2715 2.1322 3.4623
Ac 2.3224 0.0000 3.4623
Ce 3.5939 2.1322 0.0000
P 1.2076 2.1322 1.6144
P -0.0727 0.0000 5.3188
P 4.7176 0.0000 1.6059
P 3.4372 2.1322 5.3103

***

[7]
8
Lattice="2.8360 1.6374 9.2516 -2.8360 1.6374 9.2516 0.0000 -3.2747 9.2516" Properties=species:S:1:pos:R:3 comment="PBE-GGA Ca2AcCePb4, relaxed" formation_energy_ev_per_atom=-0.445 space_group="R-3m, No. 166" pbc="T T T"
Ca 0.0000 0.0000 6.9419
Ca 0.0000 0.0000 20.8128
Ac 0.0000 0.0000 0.0000
Ce 0.0000 0.0000 13.8773
Pb 0.0000 0.0000 3.5450
Pb 0.0000 0.0000 10.4960
Pb 0.0000 0.0000 17.2587
Pb 0.0000 0.0000 24.2096

***

[8]
4
Lattice="0.0000 4.2434 4.2434 4.2434 0.0000 4.2434 4.2434 4.2434 0.0000" Properties=species:S:1:pos:R:3 comment="PBE-GGA CaAcCePm, relaxed" formation_energy_ev_per_atom=0.234 space_group="F-43m, No. 216" pbc="T T T"
Ca 0.0000 0.0000 0.0000
Ac 2.1217 2.1217 2.1217
Ce 4.2434 4.2434 4.2434
Pm 6.3650 6.3650 6.3650

***

[9]
4
Lattice="0.0000 4.2613 4.2613 4.2613 0.0000 4.2613 4.2613 4.2613 0.0000" Properties=species:S:1:pos:R:3 comment="PBE-GGA CaAcCePr, relaxed" formation_energy_ev_per_atom=0.224 space_group="F-43m, No. 216" pbc="T T T"
Ca 0.0000 0.0000 0.0000
Ac 6.3919 6.3919 6.3919
Ce 4.2613 4.2613 4.2613
Pr 2.1306 2.1306 2.1306

***

[10]
8
Lattice="7.1003 0.0000 0.0000 0.0000 4.0919 0.0000 -2.3626 0.0000 6.8123" Properties=species:S:1:pos:R:3 comment="PBE-GGA Ca2AcCeS4, relaxed" space_group="P2/m, No. 10" raw_formation_energy_ev_per_fu=-16.1 pbc="T T T"
Ca 0.0000 0.0000 0.0000
Ca 3.5501 2.0460 0.0000
Ac -1.1813 2.0460 3.4062
Ce 2.3688 0.0000 3.4062
S 1.2347 2.0460 1.6324
S 0.0570 0.0000 5.2164
S 4.6807 0.0000 1.5959
S 3.5030 2.0460 5.1799

***

[11]
8
Lattice="7.1242 0.0000 0.0000 0.0000 4.0901 0.0000 -2.3433 0.0000 6.7825" Properties=species:S:1:pos:R:3 comment="PBE-GGA CaAcCe2S4, relaxed" space_group="P2/m, No. 10" raw_formation_energy_ev_per_fu=-16.0 pbc="T T T"
Ca 0.0000 0.0000 0.0000
Ac 3.5621 2.0451 0.0000
Ce -1.1717 2.0451 3.3913
Ce 2.3904 0.0000 3.3913
S -0.0576 0.0000 5.0250
S 1.1221 2.0451 1.7081
S 3.6588 2.0451 5.0744
S 4.8384 0.0000 1.7575

***

[12]
8
Lattice="7.5387 0.0000 0.0000 0.0000 4.3171 0.0000 -2.4725 0.0000 7.1254" Properties=species:S:1:pos:R:3 comment="PBE-GGA CaAc2CeSe4, relaxed" space_group="P2/m, No. 10" raw_formation_energy_ev_per_fu=-14.9 pbc="T T T"
Ca 0.0000 0.0000 0.0000
Ac 2.5331 0.0000 3.5627
Ac 3.7694 2.1586 0.0000
Ce -1.2363 2.1586 3.5627
Se 1.1391 2.1586 1.7147
Se -0.1032 0.0000 5.3245
Se 5.1693 0.0000 1.8009
Se 3.9270 2.1586 5.4107

***

[13]
4
Lattice="0.0000 4.2371 4.2371 4.2371 0.0000 4.2371 4.2371 4.2371 0.0000" Properties=species:S:1:pos:R:3 comment="PBE-GGA CaAcCeSm, relaxed" formation_energy_ev_per_atom=0.237 space_group="F-43m, No. 216" pbc="T T T"
Ca 0.0000 0.0000 0.0000
Ac 2.1186 2.1186 2.1186
Ce 4.2371 4.2371 4.2371
Sm 6.3557 6.3557 6.3557

***

[14]
4
Lattice="0.0000 4.0208 4.0208 4.0208 0.0000 4.0208 4.0208 4.0208 0.0000" Properties=species:S:1:pos:R:3 comment="PBE-GGA CaAcCeSn, relaxed" formation_energy_ev_per_atom=-0.070 space_group="F-43m, No. 216" pbc="T T T"
Ca 0.0000 0.0000 0.0000
Ac 2.0104 2.0104 2.0104
Ce 4.0208 4.0208 4.0208
Sn 6.0312 6.0312 6.0312

***

no.,total moment (μB/f.u.),E (eV per cell)
1,1.08,-55.22
2,0.00,-58.27
3,0.32,-93.22
4,2.06,-15.90
5,0.00,-157.48
6,0.00,-45.10
7,1.06,-32.44
8,2.09,-15.86
9,2.01,-15.93
10,1.49,-46.68
11,2.24,-50.46
12,1.15,-44.98
13,2.10,-15.81
14,1.98,-16.33